Entry from Alexandria: a relaxed Dy2Be12Co5 crystal (PBE-GGA).

CIF file:
```
data_Dy2Be12Co5
_chemical_formula_sum 'Dy6 Be36 Co15'
_symmetry_space_group_name_H-M 'R -3 m'
_symmetry_Int_Tables_number 166
_symmetry_space_group_name_Hall '-R 3 2"'
_cell_length_a 7.9216
_cell_length_b 7.9216
_cell_length_c 11.4414
_cell_angle_alpha 90.00
_cell_angle_beta 90.00
_cell_angle_gamma 120.00
loop_
_atom_site_label
_atom_site_type_symbol
_atom_site_fract_x
_atom_site_fract_y
_atom_site_fract_z
_atom_site_occupancy
Dy1 Dy 0.0000 0.0000 0.1604 1
Be1 Be 0.0000 0.2762 0.5000 1
Be2 Be 0.0118 0.5059 0.3405 1
Co1 Co 0.0000 0.0000 0.4023 1
Co2 Co 0.0000 0.5000 0.0000 1
```

Properties
total magnetization	0.17	μB per atom
E_form	-214	meV per atom
uncorrected energy	-4.921	eV/atom

***

Entry from Alexandria: a relaxed SiBi crystal (PBE-GGA).

CIF file:
```
data_SiBi
_chemical_formula_sum 'Si2 Bi2'
_symmetry_space_group_name_H-M 'P 1 21/m 1'
_symmetry_Int_Tables_number 11
_symmetry_space_group_name_Hall '-P 2yb'
_cell_length_a 4.625
_cell_length_b 3.727
_cell_length_c 6.326
_cell_angle_alpha 90.00
_cell_angle_beta 105.16
_cell_angle_gamma 90.00
loop_
_atom_site_label
_atom_site_type_symbol
_atom_site_fract_x
_atom_site_fract_y
_atom_site_fract_z
_atom_site_occupancy
Si1 Si 0.153 0.250 0.485 1
Bi1 Bi 0.340 0.750 0.169 1
```

Properties
total magnetization	0.00	μB per atom
formation energy (no corrections)	0.286	eV per atom
uncorrected energy	-4.366	eV/atom

***

Entry from Alexandria: a relaxed Ce4GeBi2Sb crystal (PBE-GGA).

CIF file:
```
data_Ce4GeBi2Sb
_chemical_formula_sum 'Ce4 Ge1 Bi2 Sb1'
_symmetry_space_group_name_H-M 'P 1 2/m 1'
_symmetry_Int_Tables_number 10
_symmetry_space_group_name_Hall '-P 2y'
_cell_length_a 7.753
_cell_length_b 4.466
_cell_length_c 7.794
_cell_angle_alpha 90.00
_cell_angle_beta 109.27
_cell_angle_gamma 90.00
loop_
_atom_site_label
_atom_site_type_symbol
_atom_site_fract_x
_atom_site_fract_y
_atom_site_fract_z
_atom_site_occupancy
Ce1 Ce 0.235 0.000 0.231 1
Ce2 Ce 0.245 0.500 0.763 1
Ge1 Ge 0.000 0.500 0.000 1
Bi1 Bi 0.000 0.000 0.500 1
Bi2 Bi 0.500 0.500 0.500 1
Sb1 Sb 0.500 0.000 0.000 1
```

Properties
total magnetization	0.34	μB per atom
formation energy (no corrections)	-0.815	eV per atom
uncorrected energy	-5.845	eV/atom

***

Entry from Alexandria: a relaxed NdTaO4F crystal (PBE-GGA).

CIF file:
```
data_NdTaO4F
_chemical_formula_sum 'Nd4 Ta4 O16 F4'
_symmetry_space_group_name_H-M 'C 1 2/m 1'
_symmetry_Int_Tables_number 12
_symmetry_space_group_name_Hall '-C 2y'
_cell_length_a 9.989
_cell_length_b 7.496
_cell_length_c 6.934
_cell_angle_alpha 90.00
_cell_angle_beta 100.95
_cell_angle_gamma 90.00
loop_
_atom_site_label
_atom_site_type_symbol
_atom_site_fract_x
_atom_site_fract_y
_atom_site_fract_z
_atom_site_occupancy
Nd1 Nd 0.195 0.000 0.081 1
Ta1 Ta 0.127 0.500 0.291 1
O1 O 0.065 0.500 0.758 1
O2 O 0.191 0.315 0.158 1
O3 O 0.196 0.500 0.563 1
F1 F 0.013 0.000 0.813 1
```

Properties
total magnetization	0.00	μB per atom
formation energy (no corrections)	-2.826	eV per atom
uncorrected energy	-8.301	eV/atom

***

Entry from Alexandria: a relaxed CdMoPt4 crystal (PBE-GGA).

CIF file:
```
data_CdMoPt4
_chemical_formula_sum 'Cd4 Mo4 Pt16'
_symmetry_space_group_name_H-M 'F -4 3 m'
_symmetry_Int_Tables_number 216
_symmetry_space_group_name_Hall 'F -4 2 3'
_cell_length_a 7.477
_cell_length_b 7.477
_cell_length_c 7.477
_cell_angle_alpha 90.00
_cell_angle_beta 90.00
_cell_angle_gamma 90.00
loop_
_atom_site_label
_atom_site_type_symbol
_atom_site_fract_x
_atom_site_fract_y
_atom_site_fract_z
_atom_site_occupancy
Cd1 Cd 0.000 0.000 0.000 1
Mo1 Mo 0.250 0.250 0.250 1
Pt1 Pt 0.125 0.125 0.625 1
```

Properties
total magnetization	0.40	μB per atom
E_form	90	meV per atom
uncorrected energy	-5.895	eV/atom

***

Entry from Alexandria: a relaxed KIr crystal (PBE-GGA).

CIF file:
```
data_KIr
_chemical_formula_sum 'K2 Ir2'
_symmetry_space_group_name_H-M 'P 63/m m c'
_symmetry_Int_Tables_number 194
_symmetry_space_group_name_Hall '-P 6c 2c'
_cell_length_a 5.8334
_cell_length_b 5.8334
_cell_length_c 6.7581
_cell_angle_alpha 90.00
_cell_angle_beta 90.00
_cell_angle_gamma 120.00
loop_
_atom_site_label
_atom_site_type_symbol
_atom_site_fract_x
_atom_site_fract_y
_atom_site_fract_z
_atom_site_occupancy
K1 K 0.3333 0.6667 0.2500 1
Ir1 Ir 0.3333 0.6667 0.7500 1
```

Properties
excess energy over the best structure of this formula in the dataset	1.880	eV per atom
total magnetization	1.00	μB per atom
E_form	2245	meV per atom
uncorrected energy	-2.734	eV/atom

***

Entry from Alexandria: a relaxed LaScCl2 crystal (PBE-GGA).

CIF file:
```
data_LaScCl2
_chemical_formula_sum 'La1 Sc1 Cl2'
_symmetry_space_group_name_H-M 'P 4/m m m'
_symmetry_Int_Tables_number 123
_symmetry_space_group_name_Hall '-P 4 2'
_cell_length_a 4.877
_cell_length_b 4.877
_cell_length_c 3.615
_cell_angle_alpha 90.00
_cell_angle_beta 90.00
_cell_angle_gamma 90.00
loop_
_atom_site_label
_atom_site_type_symbol
_atom_site_fract_x
_atom_site_fract_y
_atom_site_fract_z
_atom_site_occupancy
La1 La 0.000 0.000 0.000 1
Sc1 Sc 0.500 0.500 0.000 1
Cl1 Cl 0.000 0.500 0.500 1
```

Properties
excess energy over the best structure of this formula in the dataset	0.370	eV per atom
total magnetization	0.00	μB per atom
formation energy (no corrections)	-1.001	eV per atom
uncorrected energy	-4.739	eV/atom

***

Entry from Alexandria: a relaxed Ce3SmB2N6 crystal (PBE-GGA).

CIF file:
```
data_Ce3SmB2N6
_chemical_formula_sum 'Ce3 Sm1 B2 N6'
_symmetry_space_group_name_H-M 'P -3 m 1'
_symmetry_Int_Tables_number 164
_symmetry_space_group_name_Hall '-P 3 2"'
_cell_length_a 5.6428
_cell_length_b 5.6428
_cell_length_c 6.3692
_cell_angle_alpha 90.00
_cell_angle_beta 90.00
_cell_angle_gamma 120.00
loop_
_atom_site_label
_atom_site_type_symbol
_atom_site_fract_x
_atom_site_fract_y
_atom_site_fract_z
_atom_site_occupancy
Ce1 Ce 0.0000 0.0000 0.0000 1
Ce2 Ce 0.3333 0.6667 0.6705 1
Sm1 Sm 0.0000 0.0000 0.5000 1
B1 B 0.3333 0.6667 0.2395 1
N1 N 0.1848 0.3695 0.2608 1
```

Properties
total magnetization	0.24	μB per atom
formation energy (no corrections)	-1.087	eV per atom
uncorrected energy	-8.240	eV/atom